The following is a PBE with a Hubbard U calculation of a relaxed NpBeVO6 crystal, from Alexandria. Values from VASP.

Computed properties:
Total DFT energy (no corrections) = -73.869 eV/f.u.
Total magnetic moment = 2.04 μB per formula unit

Geometry as Quantum ESPRESSO input:
```
&SYSTEM
  ibrav = 0, nat = 18, ntyp = 4
/
ATOMIC_SPECIES
O 16.00 O.upf
V 50.94 V.upf
Be 9.01 Be.upf
Np 237.00 Np.upf
ATOMIC_POSITIONS crystal
O 0.6734 0.6506 0.1330
O 0.9773 0.3266 0.1330
O 0.6506 0.6734 0.6330
O 0.3266 0.9773 0.6330
O 0.6506 0.9773 0.8670
O 0.0227 0.3494 0.6330
O 0.9773 0.6506 0.3670
O 0.6734 0.0227 0.3670
O 0.0227 0.6734 0.8670
O 0.3266 0.3494 0.8670
O 0.3494 0.3266 0.3670
O 0.3494 0.0227 0.1330
V 0.0000 0.0000 0.5000
V 0.0000 0.0000 0.0000
Be 0.6667 0.3333 0.2500
Be 0.3333 0.6667 0.7500
Np 0.6667 0.3333 0.7500
Np 0.3333 0.6667 0.2500
CELL_PARAMETERS angstrom
-3.1403 1.9455 3.3479
2.6016 -4.1045 1.1135
6.6035 5.0671 3.2495
```